Below is an optimized crystal structure of GaSe, with properties calculated at the PBE-GGA level.

Summary:
As for the space group: Cmmm.

abc: 2.779 5.569 2.779
angles: 90.00 104.27 90.00
Atoms (fractional coordinates):
Ga1 0.000 0.000 0.500
Se1 0.000 0.500 0.500

=====

Below is an optimized crystal structure of GaSe, with properties calculated at the PBE-GGA level.

Summary:
As for the space group: Imm2.

abc: 12.607 3.956 6.152
angles: 90.00 90.00 90.00
Atoms (fractional coordinates):
Ga1 0.804 0.000 0.666
Ga2 0.196 0.000 0.666
Ga3 0.304 0.500 0.166
Ga4 0.696 0.500 0.166
Ga5 0.000 0.500 0.411
Ga6 0.500 0.000 0.911
Se1 0.816 0.000 0.250
Se2 0.184 0.000 0.250
Se3 0.316 0.500 0.750
Se4 0.684 0.500 0.750
Se5 0.000 0.000 0.758
Se6 0.500 0.500 0.258

=====

Below is an optimized crystal structure of GaSe, with properties calculated at the PBE-GGA level.

Summary:
As for the space group: P-6m2.

abc: 3.814 3.814 17.461
angles: 90.00 90.00 120.00
Atoms (fractional coordinates):
Ga1 0.000 0.000 0.071
Ga2 0.000 0.000 0.929
Ga3 0.667 0.333 0.429
Ga4 0.667 0.333 0.571
Se1 0.667 0.333 0.862
Se2 0.667 0.333 0.138
Se3 0.333 0.667 0.638
Se4 0.333 0.667 0.362

=====

Below is an optimized crystal structure of GaSe, with properties calculated at the PBE-GGA level.

Summary:
As for the space group: F-43m.

abc: 6.181 6.181 6.181
angles: 90.00 90.00 90.00
Atoms (fractional coordinates):
Ga1 0.250 0.250 0.250
Ga2 0.250 0.750 0.750
Ga3 0.750 0.250 0.750
Ga4 0.750 0.750 0.250
Se1 0.000 0.000 0.000
Se2 0.000 0.500 0.500
Se3 0.500 0.000 0.500
Se4 0.500 0.500 0.000

=====

Below is an optimized crystal structure of GaSe, with properties calculated at the PBE-GGA level.

Summary:
As for the space group: I-43m.

abc: 8.280 8.280 8.280
angles: 90.00 90.00 90.00
Atoms (fractional coordinates):
Ga1 0.144 0.144 0.144
Ga2 0.144 0.856 0.856
Ga3 0.856 0.144 0.856
Ga4 0.856 0.856 0.144
Ga5 0.644 0.644 0.644
Ga6 0.644 0.356 0.356
Ga7 0.356 0.644 0.356
Ga8 0.356 0.356 0.644
Se1 0.320 0.320 0.320
Se2 0.320 0.680 0.680
Se3 0.680 0.320 0.680
Se4 0.680 0.680 0.320
Se5 0.820 0.820 0.820
Se6 0.820 0.180 0.180
Se7 0.180 0.820 0.180
Se8 0.180 0.180 0.820

=====

Below is an optimized crystal structure of GaSe2, with properties calculated at the PBE-GGA level.

Summary:
As for the space group: Fmm2.

abc: 7.370 7.862 12.940
angles: 90.00 90.00 90.00
Atoms (fractional coordinates):
Se1 0.000 0.724 0.955
Se2 0.000 0.276 0.955
Se3 0.000 0.224 0.455
Se4 0.000 0.776 0.455
Se5 0.500 0.724 0.455
Se6 0.500 0.276 0.455
Se7 0.500 0.224 0.955
Se8 0.500 0.776 0.955
Se9 0.336 0.000 0.219
Se10 0.664 0.000 0.219
Se11 0.336 0.500 0.719
Se12 0.664 0.500 0.719
Se13 0.836 0.000 0.719
Se14 0.164 0.000 0.719
Se15 0.836 0.500 0.219
Se16 0.164 0.500 0.219
Ga1 0.250 0.250 0.344
Ga2 0.750 0.750 0.344
Ga3 0.750 0.250 0.344
Ga4 0.250 0.750 0.344
Ga5 0.250 0.750 0.844
Ga6 0.750 0.250 0.844
Ga7 0.750 0.750 0.844
Ga8 0.250 0.250 0.844

=====

Below is an optimized crystal structure of GaSe, with properties calculated at the PBE-GGA level.

Summary:
As for the space group: P6_3/mmc.

abc: 3.814 3.814 17.476
angles: 90.00 90.00 120.00
Atoms (fractional coordinates):
Ga1 0.333 0.667 0.179
Ga2 0.667 0.333 0.679
Ga3 0.667 0.333 0.821
Ga4 0.333 0.667 0.321
Se1 0.333 0.667 0.612
Se2 0.667 0.333 0.112
Se3 0.667 0.333 0.388
Se4 0.333 0.667 0.888

=====

Below is an optimized crystal structure of Ga2SiSe4, with properties calculated at the PBE-GGA level.

Summary:
As for the space group: I-42m.

abc: 6.618 6.618 6.553
angles: 120.33 120.33 90.00
Atoms (fractional coordinates):
Ga1 0.750 0.250 0.500
Ga2 0.250 0.750 0.500
Si1 0.500 0.500 0.000
Se1 0.835 0.400 0.234
Se2 0.400 0.835 0.234
Se3 0.600 0.600 0.766
Se4 0.165 0.165 0.766

=====

Going through the records in order, we get VASP energy values of -3.271 -3.583 -3.851 -3.501 -3.466 -3.698 -3.851 -3.978 eV/atom.